[1]
BiPPdAuN: relaxed, PBE.

- energy above the most stable polymorph in this dataset (meV/atom) = 108
- uncorrected formation energy (eV/atom) = 0.163
- crystal system = triclinic

Cell and atoms, written as POSCAR:
```
BiPPdAuN
1.0
4.353 0.000 0.000
-1.844 4.594 0.000
-0.289 -1.991 4.725
Bi P Pd Au N
1 1 1 1 1
Cartesian
0.000 0.000 0.000
2.446 0.272 2.561
-0.521 2.973 1.948
0.268 0.758 3.681
2.774 1.256 1.294
```



[2]
BiPPdAuN: relaxed, PBE.

- energy above the most stable polymorph in this dataset (meV/atom) = 51
- uncorrected formation energy (eV/atom) = 0.106
- crystal system = triclinic

Cell and atoms, written as POSCAR:
```
BiPPdAuN
1.0
3.586 0.000 0.000
1.782 3.978 0.000
0.014 2.228 6.789
Bi P Pd Au N
1 1 1 1 1
Cartesian
0.000 0.000 0.000
3.577 4.731 3.079
3.589 2.212 3.502
1.803 3.857 5.120
3.576 3.759 1.787
```



[3]
BiPPdAuN: relaxed, PBE.

- energy above the most stable polymorph in this dataset (meV/atom) = 77
- uncorrected formation energy (eV/atom) = 0.132
- crystal system = monoclinic

Cell and atoms, written as POSCAR:
```
BiPPdAuN
1.0
7.916 -1.455 0.000
7.916 1.455 0.000
-0.273 0.000 4.347
Bi P Pd Au N
1 1 1 1 1
Cartesian
0.000 0.000 0.000
3.804 0.000 1.962
10.521 0.000 0.384
6.248 0.000 2.067
11.017 0.000 2.676
```



[4]
BiPPdAuN: relaxed, PBE.

- energy above the most stable polymorph in this dataset (meV/atom) = 42
- uncorrected formation energy (eV/atom) = 0.097
- crystal system = monoclinic

Cell and atoms, written as POSCAR:
```
BiPPdAuN
1.0
4.526 -1.726 0.000
4.526 1.726 0.000
-2.991 0.000 6.284
Bi P Pd Au N
1 1 1 1 1
Cartesian
0.000 0.000 0.000
1.183 0.000 3.479
4.232 0.000 3.791
2.550 0.000 1.478
2.312 0.000 4.687
```